DFT (PBE-GGA) results for crystalline LiZnSe2 at its relaxed geometry.

The structure in POSCAR format:
```
LiZnSe2
1.0
6.8472 -1.5670 0.0000
6.8472 1.5670 0.0000
-0.0019 0.0000 3.8376
Li Zn Se
1 1 2
Direct
0.0000 0.0000 0.0000
0.7535 0.7535 0.5036
0.3267 0.3267 0.0027
0.5770 0.5770 0.5004
```

Summary:
As for the density of states at the Fermi level: 1.83 states/eV per cell. The formation energy without anion corrections comes out at -0.59 eV/atom. Its polymorph energy (0 for the lowest one) is 0.010 eV per atom.

---

DFT (PBE-GGA) results for crystalline Pm2AlGa3Pt4 at its relaxed geometry.

The structure in POSCAR format:
```
Pm2AlGa3Pt4
1.0
4.1797 0.0000 0.0000
0.0000 4.1797 0.0000
0.0000 0.0000 10.9288
Pm Al Ga Pt
2 1 3 4
Direct
0.0000 0.5000 0.2492
0.5000 0.0000 0.7508
0.5000 0.5000 0.0000
0.0000 0.0000 0.0000
0.0000 0.5000 0.6347
0.5000 0.0000 0.3653
0.0000 0.0000 0.5000
0.0000 0.5000 0.8651
0.5000 0.0000 0.1349
0.5000 0.5000 0.5000
```

Summary:
As for the density of states at the Fermi level: 4.93 states/eV per cell. The calculation puts the energy relative to the elements at -1010 meV per atom.

---

DFT (PBE-GGA) results for crystalline AsP2SCl at its relaxed geometry.

The structure in POSCAR format:
```
AsP2SCl
1.0
4.8348 0.0000 0.0000
0.0000 4.8348 0.0000
0.0000 0.0000 4.6789
As P S Cl
1 2 1 1
Direct
0.0000 0.0000 0.0000
0.0000 0.5000 0.0000
0.5000 0.0000 0.0000
0.5000 0.5000 0.5000
0.0000 0.0000 0.5000
```

Summary:
As for the density of states at the Fermi level: 3.64 states/eV per cell. The formation energy without anion corrections comes out at 1.02 eV/atom. Its polymorph energy (0 for the lowest one) is 0.097 eV per atom.

---

DFT (PBE-GGA) results for crystalline CaAcI2O at its relaxed geometry.

The structure in POSCAR format:
```
CaAcI2O
1.0
4.2616 0.0000 0.0000
0.0000 4.2616 0.0000
0.0000 0.0000 18.9950
Ca Ac I O
2 2 4 2
Direct
0.2500 0.2500 0.0629
0.7500 0.7500 0.9371
0.2500 0.2500 0.5669
0.7500 0.7500 0.4331
0.2500 0.2500 0.3304
0.2500 0.2500 0.8649
0.7500 0.7500 0.1351
0.7500 0.7500 0.6696
0.2500 0.7500 0.5000
0.7500 0.2500 0.5000
```

Summary:
As for the density of states at the Fermi level: 1.42 states/eV per cell. The formation energy without anion corrections comes out at -2.07 eV/atom.

---

DFT (PBE-GGA) results for crystalline LiNiSn2 at its relaxed geometry.

The structure in POSCAR format:
```
LiNiSn2
1.0
4.1407 0.0000 0.0000
-2.0704 3.5860 0.0000
0.0000 0.0000 5.4317
Li Ni Sn
1 1 2
Direct
0.0000 0.0000 0.0000
0.0000 0.0000 0.5000
0.3333 0.6667 0.6971
0.6667 0.3333 0.3029
```

Summary:
As for the density of states at the Fermi level: 1.78 states/eV per cell. The calculation puts the energy relative to the elements at -231 meV per atom.

---

DFT (PBE-GGA) results for crystalline La2CdSe at its relaxed geometry.

The structure in POSCAR format:
```
La2CdSe
1.0
-4.1921 4.1921 3.6514
4.1921 -4.1921 3.6514
4.1921 4.1921 -3.6514
La Cd Se
4 2 2
Direct
0.0969 0.6250 0.9719
0.3750 0.3469 0.4719
0.6531 0.1250 0.0281
0.8750 0.9031 0.5281
0.2500 0.7500 0.5000
0.5000 0.5000 0.0000
0.0000 0.0000 0.0000
0.7500 0.2500 0.5000
```

Summary:
As for the density of states at the Fermi level: 11.10 states/eV per cell. The formation energy without anion corrections comes out at -0.75 eV/atom. Its polymorph energy (0 for the lowest one) is 0.304 eV per atom.